Entry 1:
Below is Y2Si2Rh after structural relaxation, with properties calculated at the PBE level.

Calculated density (g cm⁻³): 5.8
Formation energy from raw total energies (eV per atom): -0.935

```
data_Y2Si2Rh
_chemical_formula_sum 'Y4 Si4 Rh2'
_cell_length_a 6.590
_cell_length_b 6.590
_cell_length_c 4.439
_cell_angle_alpha 90.00
_cell_angle_beta 90.00
_cell_angle_gamma 90.00
_space_group_name_H-M_alt 'P 4/m b m'
_space_group_IT_number 127
_space_group_name_Hall '-P 4 2ab'
loop_
_atom_site_label
_atom_site_type_symbol
_atom_site_fract_x
_atom_site_fract_y
_atom_site_fract_z
Y1 Y 0.174 0.326 0.000
Si1 Si 0.133 0.633 0.500
Rh1 Rh 0.000 0.000 0.500
```

***

Entry 2:
Below is Y3Si2Rh5 after structural relaxation, with properties calculated at the PBE level.

Calculated density (g cm⁻³): 7.8
Formation energy from raw total energies (eV per atom): -0.991

```
data_Y3Si2Rh5
_chemical_formula_sum 'Y6 Si4 Rh10'
_cell_length_a 10.003
_cell_length_b 10.003
_cell_length_c 3.541
_cell_angle_alpha 90.00
_cell_angle_beta 90.00
_cell_angle_gamma 90.00
_space_group_name_H-M_alt 'P 4/m b m'
_space_group_IT_number 127
_space_group_name_Hall '-P 4 2ab'
loop_
_atom_site_label
_atom_site_type_symbol
_atom_site_fract_x
_atom_site_fract_y
_atom_site_fract_z
Y1 Y 0.000 0.000 0.000
Y2 Y 0.174 0.326 0.000
Si1 Si 0.123 0.623 0.000
Rh1 Rh 0.000 0.500 0.500
Rh2 Rh 0.070 0.777 0.500
```

***

Entry 3:
Below is Y3SiRh after structural relaxation, with properties calculated at the PBE level.

Polymorph energy (0 for the lowest one) (kJ/mol of atoms): 0.0
Calculated density (g cm⁻³): 4.6
Formation energy from raw total energies (eV per atom): -0.153

```
data_Y3SiRh
_chemical_formula_sum 'Y3 Si1 Rh1'
_cell_length_a 5.253
_cell_length_b 5.253
_cell_length_c 5.253
_cell_angle_alpha 90.00
_cell_angle_beta 90.00
_cell_angle_gamma 90.00
_space_group_name_H-M_alt 'P m -3 m'
_space_group_IT_number 221
_space_group_name_Hall '-P 4 2 3'
loop_
_atom_site_label
_atom_site_type_symbol
_atom_site_fract_x
_atom_site_fract_y
_atom_site_fract_z
Y1 Y 0.000 0.000 0.500
Si1 Si 0.500 0.500 0.500
Rh1 Rh 0.000 0.000 0.000
```

***

Entry 4:
Below is Y3SiRh2 after structural relaxation, with properties calculated at the PBE level.

Calculated density (g cm⁻³): 6.1
Formation energy from raw total energies (eV per atom): -0.808

```
data_Y3SiRh2
_chemical_formula_sum 'Y12 Si4 Rh8'
_cell_length_a 11.560
_cell_length_b 3.886
_cell_length_c 12.042
_cell_angle_alpha 90.00
_cell_angle_beta 90.00
_cell_angle_gamma 90.00
_space_group_name_H-M_alt 'P n m a'
_space_group_IT_number 62
loop_
_space_group_symop_operation_xyz
'x,y,z'
'-x,-y,-z'
'-x+1/2,-y,z+1/2'
'x+1/2,y,-z+1/2'
'x+1/2,-y+1/2,-z+1/2'
'-x+1/2,y+1/2,z+1/2'
'-x,y+1/2,-z'
'x,-y+1/2,z'
loop_
_atom_site_label
_atom_site_type_symbol
_atom_site_fract_x
_atom_site_fract_y
_atom_site_fract_z
Y1 Y 0.059 0.250 0.118
Y2 Y 0.127 0.750 0.554
Y3 Y 0.201 0.250 0.806
Si1 Si 0.121 0.250 0.361
Rh1 Rh 0.016 0.750 0.310
Rh2 Rh 0.196 0.750 0.981
```

***

Entry 5:
Below is Y4SiRh3 after structural relaxation, with properties calculated at the PBE level.

Calculated density (g cm⁻³): 6.6
Formation energy from raw total energies (eV per atom): -0.817

```
data_Y4SiRh3
_chemical_formula_sum 'Y4 Si1 Rh3'
_cell_length_a 3.923
_cell_length_b 4.173
_cell_length_c 10.648
_cell_angle_alpha 90.00
_cell_angle_beta 90.00
_cell_angle_gamma 90.00
_space_group_name_H-M_alt 'P m m 2'
_space_group_IT_number 25
loop_
_space_group_symop_operation_xyz
'x,y,z'
'-x,-y,z'
'-x,y,z'
'x,-y,z'
loop_
_atom_site_label
_atom_site_type_symbol
_atom_site_fract_x
_atom_site_fract_y
_atom_site_fract_z
Y1 Y 0.000 0.000 0.000
Y2 Y 0.000 0.500 0.279
Y3 Y 0.500 0.000 0.492
Y4 Y 0.500 0.500 0.783
Si1 Si 0.000 0.000 0.707
Rh1 Rh 0.000 0.500 0.572
Rh2 Rh 0.500 0.000 0.223
Rh3 Rh 0.500 0.500 0.052
```

***

Entry 6:
Below is Y2Si3Rh2 after structural relaxation, with properties calculated at the PBE level.

Polymorph energy (0 for the lowest one) (kJ/mol of atoms): 11.2
Calculated density (g cm⁻³): 6.3
Formation energy from raw total energies (eV per atom): -0.854

```
data_Y2Si3Rh2
_chemical_formula_sum 'Y4 Si6 Rh4'
_cell_length_a 10.073
_cell_length_b 4.155
_cell_length_c 6.506
_cell_angle_alpha 90.00
_cell_angle_beta 115.51
_cell_angle_gamma 90.00
_space_group_name_H-M_alt 'C 1 2/m 1'
_space_group_IT_number 12
loop_
_space_group_symop_operation_xyz
'x,y,z'
'-x,-y,-z'
'-x,y,-z'
'x,-y,z'
'x+1/2,y+1/2,z'
'-x+1/2,-y+1/2,-z'
'-x+1/2,y+1/2,-z'
'x+1/2,-y+1/2,z'
loop_
_atom_site_label
_atom_site_type_symbol
_atom_site_fract_x
_atom_site_fract_y
_atom_site_fract_z
Y1 Y 0.152 0.000 0.272
Si1 Si 0.000 0.500 0.500
Si2 Si 0.115 0.500 0.940
Rh1 Rh 0.133 0.000 0.730
```

***

Entry 7:
Below is Y3Si3Rh2 after structural relaxation, with properties calculated at the PBE level.

Polymorph energy (0 for the lowest one) (kJ/mol of atoms): 0.0
Calculated density (g cm⁻³): 6.0
Formation energy from raw total energies (eV per atom): -1.008

```
data_Y3Si3Rh2
_chemical_formula_sum 'Y12 Si12 Rh8'
_cell_length_a 4.190
_cell_length_b 10.689
_cell_length_c 13.756
_cell_angle_alpha 90.00
_cell_angle_beta 90.00
_cell_angle_gamma 90.00
_space_group_name_H-M_alt 'C m c m'
_space_group_IT_number 63
_space_group_name_Hall '-C 2c 2'
loop_
_atom_site_label
_atom_site_type_symbol
_atom_site_fract_x
_atom_site_fract_y
_atom_site_fract_z
Y1 Y 0.000 0.079 0.115
Y2 Y 0.000 0.356 0.250
Si1 Si 0.000 0.335 0.750
Si2 Si 0.000 0.389 0.039
Rh1 Rh 0.000 0.214 0.581
```

***

Entry 8:
Below is YSi2Rh after structural relaxation, with properties calculated at the PBE level.

Calculated density (g cm⁻³): 5.6
Formation energy from raw total energies (eV per atom): -0.555

```
data_YSi2Rh
_chemical_formula_sum 'Y2 Si4 Rh2'
_cell_length_a 3.539
_cell_length_b 3.802
_cell_length_c 10.947
_cell_angle_alpha 90.00
_cell_angle_beta 90.00
_cell_angle_gamma 90.00
_space_group_name_H-M_alt 'I m m 2'
_space_group_IT_number 44
loop_
_space_group_symop_operation_xyz
'x,y,z'
'-x,-y,z'
'-x,y,z'
'x,-y,z'
'x+1/2,y+1/2,z+1/2'
'-x+1/2,-y+1/2,z+1/2'
'-x+1/2,y+1/2,z+1/2'
'x+1/2,-y+1/2,z+1/2'
loop_
_atom_site_label
_atom_site_type_symbol
_atom_site_fract_x
_atom_site_fract_y
_atom_site_fract_z
Y1 Y 0.000 0.000 0.000
Si1 Si 0.000 0.000 0.610
Si2 Si 0.000 0.500 0.755
Rh1 Rh 0.000 0.500 0.259
```

***

Entry 9:
Below is YSi2Rh after structural relaxation, with properties calculated at the PBE level.

Calculated density (g cm⁻³): 6.0
Formation energy from raw total energies (eV per atom): -0.517

```
data_YSi2Rh
_chemical_formula_sum 'Y1 Si2 Rh1'
_cell_length_a 3.240
_cell_length_b 3.240
_cell_length_c 6.497
_cell_angle_alpha 90.00
_cell_angle_beta 90.00
_cell_angle_gamma 90.00
_space_group_name_H-M_alt 'P 4 m m'
_space_group_IT_number 99
loop_
_space_group_symop_operation_xyz
'x,y,z'
'-y,x,z'
'-x,-y,z'
'y,-x,z'
'-x,y,z'
'y,x,z'
'x,-y,z'
'-y,-x,z'
loop_
_atom_site_label
_atom_site_type_symbol
_atom_site_fract_x
_atom_site_fract_y
_atom_site_fract_z
Y1 Y 0.000 0.000 0.000
Si1 Si 0.000 0.000 0.501
Si2 Si 0.500 0.500 0.712
Rh1 Rh 0.500 0.500 0.337
```

***

Entry 10:
Below is YSiRh2 after structural relaxation, with properties calculated at the PBE level.

Calculated density (g cm⁻³): 7.4
Formation energy from raw total energies (eV per atom): -0.900

```
data_YSiRh2
_chemical_formula_sum 'Y2 Si2 Rh4'
_cell_length_a 3.940
_cell_length_b 3.940
_cell_length_c 9.291
_cell_angle_alpha 90.00
_cell_angle_beta 90.00
_cell_angle_gamma 90.00
_space_group_name_H-M_alt 'P 4/n m m'
_space_group_IT_number 129
loop_
_space_group_symop_operation_xyz
'x,y,z'
'-x,-y,-z'
'-y+1/2,x,z'
'y+1/2,-x,-z'
'-x+1/2,-y+1/2,z'
'x+1/2,y+1/2,-z'
'y,-x+1/2,z'
'-y,x+1/2,-z'
'x+1/2,-y,-z'
'-x+1/2,y,z'
'-y,-x,-z'
'y,x,z'
'-x,y+1/2,-z'
'x,-y+1/2,z'
'y+1/2,x+1/2,-z'
'-y+1/2,-x+1/2,z'
loop_
_atom_site_label
_atom_site_type_symbol
_atom_site_fract_x
_atom_site_fract_y
_atom_site_fract_z
Y1 Y 0.250 0.250 0.208
Si1 Si 0.250 0.250 0.646
Rh1 Rh 0.250 0.250 0.896
Rh2 Rh 0.250 0.750 0.500
```

***

Entry 11:
Below is YSiRh2 after structural relaxation, with properties calculated at the PBE level.

Calculated density (g cm⁻³): 7.9
Formation energy from raw total energies (eV per atom): -1.022

```
data_YSiRh2
_chemical_formula_sum 'Y6 Si6 Rh12'
_cell_length_a 5.5527
_cell_length_b 5.5527
_cell_length_c 15.1513
_cell_angle_alpha 90.00
_cell_angle_beta 90.00
_cell_angle_gamma 120.00
_space_group_name_H-M_alt 'P 63/m m c'
_space_group_IT_number 194
_space_group_name_Hall '-P 6c 2c'
loop_
_atom_site_label
_atom_site_type_symbol
_atom_site_fract_x
_atom_site_fract_y
_atom_site_fract_z
Y1 Y 0.3333 0.6667 0.0369
Y2 Y 0.3333 0.6667 0.2500
Si1 Si 0.0000 0.0000 0.0000
Si2 Si 0.0000 0.0000 0.2500
Si3 Si 0.3333 0.6667 0.7500
Rh1 Rh 0.1665 0.3330 0.6309
```

***

Entry 12:
Below is YSiRh2 after structural relaxation, with properties calculated at the PBE level.

Calculated density (g cm⁻³): 7.6
Formation energy from raw total energies (eV per atom): -0.890

```
data_YSiRh2
_chemical_formula_sum 'Y2 Si2 Rh4'
_cell_length_a 4.1517
_cell_length_b 4.1517
_cell_length_c 9.4635
_cell_angle_alpha 90.00
_cell_angle_beta 90.00
_cell_angle_gamma 120.00
_space_group_name_H-M_alt 'P 63/m m c'
_space_group_IT_number 194
_space_group_name_Hall '-P 6c 2c'
loop_
_atom_site_label
_atom_site_type_symbol
_atom_site_fract_x
_atom_site_fract_y
_atom_site_fract_z
Y1 Y 0.3333 0.6667 0.2500
Si1 Si 0.0000 0.0000 0.0000
Rh1 Rh 0.3333 0.6667 0.5737
```

***

Question: Which of these has the lowest formation energy from raw total energies?
Answer: number 11

***

Question: Among the records above, which one has the highest calculated density?
Answer: number 11

***

Copy entry 6 word for word.
Below is Y2Si3Rh2 after structural relaxation, with properties calculated at the PBE level.

Polymorph energy (0 for the lowest one) (kJ/mol of atoms): 11.2
Calculated density (g cm⁻³): 6.3
Formation energy from raw total energies (eV per atom): -0.854

```
data_Y2Si3Rh2
_chemical_formula_sum 'Y4 Si6 Rh4'
_cell_length_a 10.073
_cell_length_b 4.155
_cell_length_c 6.506
_cell_angle_alpha 90.00
_cell_angle_beta 115.51
_cell_angle_gamma 90.00
_space_group_name_H-M_alt 'C 1 2/m 1'
_space_group_IT_number 12
loop_
_space_group_symop_operation_xyz
'x,y,z'
'-x,-y,-z'
'-x,y,-z'
'x,-y,z'
'x+1/2,y+1/2,z'
'-x+1/2,-y+1/2,-z'
'-x+1/2,y+1/2,-z'
'x+1/2,-y+1/2,z'
loop_
_atom_site_label
_atom_site_type_symbol
_atom_site_fract_x
_atom_site_fract_y
_atom_site_fract_z
Y1 Y 0.152 0.000 0.272
Si1 Si 0.000 0.500 0.500
Si2 Si 0.115 0.500 0.940
Rh1 Rh 0.133 0.000 0.730
```

***

Question: The highest calculated density belongs to which entry?
Answer: number 11